1.
Entry from Alexandria: an optimized crystal structure of Re2RhCl (GGA-PBEsol).

```
Re2RhCl
1.0
-2.1209 0.0492 1.6633
2.0834 -1.1286 2.6900
1.2742 5.8146 1.4527
Re Rh Cl
2 1 1
direct
0.0000 0.0000 0.7747
0.0000 0.0000 0.2253
0.5000 0.5000 0.0000
0.5000 0.5000 0.5000
```

Values from the calculation:
- polymorph energy (0 for the lowest one) (meV per atom) = 329
- symmetry = Pmmm, No. 47
- total magnetization (μB per atom) = 0.00
- calculated volume (Å³/cell) = 59.2
- DOS(E_F) (states/eV per atom) = 0.9221

***

2.
Entry from Alexandria: an optimized crystal structure of Re2RhCl (GGA-PBEsol).

```
Re2RhCl
1.0
2.8177 0.0000 0.0000
0.0000 4.4953 0.0000
-1.4089 -2.2477 4.4249
Re Rh Cl
2 1 1
direct
0.0155 0.0155 0.0310
0.2573 0.7573 0.5147
0.4853 0.4853 0.9706
0.7419 0.2419 0.4838
```

Values from the calculation:
- polymorph energy (0 for the lowest one) (meV per atom) = 209
- symmetry = Imm2, No. 44
- total magnetization (μB per atom) = 0.00
- calculated volume (Å³/cell) = 56.0
- DOS(E_F) (states/eV per atom) = 0.8967

***

3.
Entry from Alexandria: an optimized crystal structure of Re2RhCl (GGA-PBEsol).

```
Re2RhCl
1.0
2.7972 0.0000 0.0000
0.0000 3.9553 0.0000
-1.3986 0.0000 5.1163
Re Rh Cl
2 1 1
direct
0.1941 0.0000 0.3882
0.5626 0.5000 0.1252
0.9398 0.0000 0.8797
0.3315 0.5000 0.6631
```

Values from the calculation:
- polymorph energy (0 for the lowest one) (meV per atom) = 0
- symmetry = Amm2, No. 38
- total magnetization (μB per atom) = 0.00
- calculated volume (Å³/cell) = 56.6
- DOS(E_F) (states/eV per atom) = 0.8381

***

4.
Entry from Alexandria: an optimized crystal structure of ReSbRh2Cl (GGA-PBEsol).

```
ReSbRh2Cl
1.0
-1.1390 -1.4118 3.8429
1.6670 -3.8032 -0.9031
4.4479 1.5053 1.8713
Re Cl Rh Sb
1 1 2 1
direct
0.5000 0.5000 0.5000
0.0000 0.0000 0.0000
0.0000 0.5000 0.0000
0.5000 0.0000 0.0000
0.0000 0.0000 0.5000
```

Values from the calculation:
- E (eV/cell) = -28.81
- symmetry = P4/mmm, No. 123
- total magnetization (μB per atom) = 0.45
- calculated volume (Å³/cell) = 91.3
- DOS(E_F) (states/eV per atom) = 1.0711